1.
# Y2MgHg

Y2MgHg after structural relaxation (PBE, the Alexandria database).

Output
Its energy above the most stable polymorph in this dataset is 0.014 eV per atom.

Unit cell a=5.3058 b=5.3058 c=5.3058 alpha=60.00 beta=60.00 gamma=60.00
Last column: nearest neighbours and their distance in Å.
Fractional coordinates of all 4 atoms:
Y1 0.7500 0.7500 0.7500  4 Hg 3.25, 4 Mg 3.25
Y2 0.2500 0.2500 0.2500  4 Hg 3.25, 4 Mg 3.25
Hg1 0.5000 0.5000 0.5000  8 Y 3.25
Mg1 0.0000 0.0000 0.0000  8 Y 3.25

2.
# YMgHg2

YMgHg2 after structural relaxation (PBE, the Alexandria database).

Unit cell a=5.6572 b=5.6572 c=5.1180 alpha=76.00 beta=76.00 gamma=38.48
Last column: nearest neighbours and their distance in Å.
Fractional coordinates of all 4 atoms:
Hg1 0.2517 0.2517 0.2991  3 Mg 3.00-3.13, 4 Y 3.13-3.21, 2 Hg 3.32
Hg2 0.9988 0.9988 0.9663  4 Mg 3.08-3.26, 3 Y 3.09-3.13, 2 Hg 3.32
Mg1 0.5078 0.5078 0.4400  7 Hg 3.00-3.26
Y1 0.7416 0.7416 0.7946  7 Hg 3.09-3.21, 1 Mg 3.44

3.
# Y2MgHg2

Y2MgHg2 after structural relaxation (PBE, the Alexandria database).

Output
Its energy above the most stable polymorph in this dataset is 0.000 eV per atom.

Unit cell a=8.0887 b=8.0887 c=3.9841 alpha=90.00 beta=90.00 gamma=90.00
Last column: nearest neighbours and their distance in Å.
Fractional coordinates of all 10 atoms:
Hg1 0.1350 0.3650 0.0000  6 Y 3.03-3.15, 1 Hg 3.09, 2 Mg 3.15
Hg2 0.3650 0.8650 0.0000  6 Y 3.03-3.15, 1 Hg 3.09, 2 Mg 3.15
Hg3 0.6350 0.1350 0.0000  6 Y 3.03-3.15, 1 Hg 3.09, 2 Mg 3.15
Hg4 0.8650 0.6350 0.0000  6 Y 3.03-3.15, 1 Hg 3.09, 2 Mg 3.15
Y1 0.6657 0.8343 0.5000  6 Hg 3.03-3.15
Y2 0.1657 0.6657 0.5000  6 Hg 3.03-3.15
Y3 0.8343 0.3343 0.5000  6 Hg 3.03-3.15
Y4 0.3343 0.1657 0.5000  6 Hg 3.03-3.15
Mg1 0.0000 0.0000 0.0000  4 Hg 3.15
Mg2 0.5000 0.5000 0.0000  4 Hg 3.15

4.
# YMgHg2

YMgHg2 after structural relaxation (PBE, the Alexandria database).

Unit cell a=3.7512 b=3.7512 c=8.7631 alpha=77.64 beta=77.64 gamma=60.00
Last column: nearest neighbours and their distance in Å.
Fractional coordinates of all 4 atoms:
Mg1 0.4998 0.4998 0.5005  6 Hg 2.95-2.96
Hg1 0.2455 0.2455 0.2636  3 Mg 2.96, 3 Y 3.12
Hg2 0.0879 0.0879 0.7363  3 Mg 2.95, 3 Y 3.11
Y1 0.6668 0.6668 0.9996  6 Hg 3.11-3.12

5.
# Y2MgHg

Y2MgHg after structural relaxation (PBE, the Alexandria database).

Output
Its energy above the most stable polymorph in this dataset is 0.047 eV per atom.

Unit cell a=4.8759 b=3.6689 c=6.2829 alpha=73.94 beta=90.00 gamma=90.00
Last column: nearest neighbours and their distance in Å.
Fractional coordinates of all 4 atoms:
Mg1 0.5000 0.5598 0.7610  2 Hg 2.96, 6 Y 3.25-3.30
Hg1 0.0000 0.6935 0.4827  2 Mg 2.96, 5 Y 3.20-3.25
Y1 0.5000 0.2838 0.3029  4 Hg 3.23-3.25, 3 Mg 3.27-3.33
Y2 0.0000 0.9629 0.9533  3 Hg 3.20-3.40, 4 Mg 3.25-3.28

6.
# YMg3Hg2

YMg3Hg2 after structural relaxation (PBE, the Alexandria database).

Output
Its energy above the most stable polymorph in this dataset is 0.000 eV per atom.

Unit cell a=4.2841 b=7.6310 c=8.7006 alpha=90.00 beta=90.00 gamma=90.00
Last column: nearest neighbours and their distance in Å.
Fractional coordinates of all 12 atoms:
Mg1 0.0000 0.8623 0.6936  4 Hg 2.84-2.95
Mg2 0.0000 0.3623 0.3064  4 Hg 2.84-2.95
Mg3 0.0000 0.9665 0.0872  5 Hg 3.06-3.17, 2 Mg 3.41
Mg4 0.5000 0.1383 0.8128  4 Hg 2.77-2.95
Mg5 0.5000 0.6383 0.1872  4 Hg 2.77-2.95
Mg6 0.0000 0.4665 0.9128  5 Hg 3.06-3.17, 2 Mg 3.41
Hg1 0.0000 0.2406 0.6217  5 Mg 2.82-3.06, 2 Y 3.10
Hg2 0.0000 0.7406 0.3783  5 Mg 2.82-3.06, 2 Y 3.10
Hg3 0.5000 0.7620 0.8881  4 Mg 2.77-2.95
Hg4 0.5000 0.2620 0.1119  4 Mg 2.77-2.95
Y1 0.5000 0.0302 0.4198  5 Hg 3.10-3.21, 4 Mg 3.45-3.46
Y2 0.5000 0.5302 0.5802  5 Hg 3.10-3.21, 4 Mg 3.45-3.46

7.
# Y5MgHg4

Y5MgHg4 after structural relaxation (PBE, the Alexandria database).

Unit cell a=3.7469 b=3.7469 c=18.6314 alpha=90.00 beta=90.00 gamma=90.00
Last column: nearest neighbours and their distance in Å.
Fractional coordinates of all 10 atoms:
Hg1 0.0000 0.0000 0.8017  8 Y 3.19-3.27
Hg2 0.0000 0.0000 0.1983  8 Y 3.19-3.27
Hg3 0.0000 0.0000 0.5994  8 Y 3.23
Hg4 0.0000 0.0000 0.4006  8 Y 3.23
Y1 0.5000 0.5000 0.6988  8 Hg 3.23-3.27
Y2 0.5000 0.5000 0.3012  8 Hg 3.23-3.27
Y3 0.5000 0.5000 0.5000  8 Hg 3.23
Y4 0.5000 0.5000 0.1032  4 Hg 3.19, 4 Mg 3.27
Y5 0.5000 0.5000 0.8968  4 Hg 3.19, 4 Mg 3.27
Mg1 0.0000 0.0000 0.0000  8 Y 3.27

8.
# Y2MgHg

Y2MgHg after structural relaxation (PBE, the Alexandria database).

Output
Its energy above the most stable polymorph in this dataset is 0.352 eV per atom.

Unit cell a=8.4890 b=8.4890 c=6.8250 alpha=51.54 beta=51.54 gamma=90.00
Last column: nearest neighbours and their distance in Å.
Fractional coordinates of all 8 atoms:
Hg1 0.0000 0.0000 0.0000  4 Y 2.94, 2 Mg 3.25
Hg2 0.7500 0.2500 0.5000  4 Y 2.94, 2 Mg 3.25
Y1 0.3750 0.3446 0.7500  2 Hg 2.94, 2 Y 3.29, 2 Mg 3.29
Y2 0.8750 0.9054 0.7500  2 Hg 2.94, 2 Y 3.29, 2 Mg 3.29
Y3 0.6554 0.1250 0.2500  2 Hg 2.94, 2 Y 3.29, 2 Mg 3.29
Y4 0.0946 0.6250 0.2500  2 Hg 2.94, 2 Y 3.29, 2 Mg 3.29
Mg1 0.2500 0.7500 0.5000  2 Hg 3.25, 4 Y 3.29
Mg2 0.5000 0.5000 0.0000  2 Hg 3.25, 4 Y 3.29

9.
# Y2MgHg

Y2MgHg after structural relaxation (PBE, the Alexandria database).

Output
Its energy above the most stable polymorph in this dataset is 0.140 eV per atom.

Unit cell a=6.0054 b=6.0054 c=6.0054 alpha=135.44 beta=135.44 gamma=64.85
Last column: nearest neighbours and their distance in Å.
Fractional coordinates of all 4 atoms:
Y1 0.0000 0.0000 0.0000  4 Hg 3.22, 4 Mg 3.41, 4 Y 3.41
Y2 0.2500 0.7500 0.5000  4 Mg 3.22, 4 Hg 3.41, 4 Y 3.41
Hg1 0.5000 0.5000 0.0000  8 Y 3.22-3.41, 4 Mg 3.41
Mg1 0.7500 0.2500 0.5000  8 Y 3.22-3.41, 4 Hg 3.41

10.
# Y3MgHg

Y3MgHg after structural relaxation (PBE, the Alexandria database).

Output
Its energy above the most stable polymorph in this dataset is 0.483 eV per atom.

Unit cell a=5.6644 b=5.6644 c=5.6644 alpha=90.00 beta=90.00 gamma=90.00
Last column: nearest neighbours and their distance in Å.
Fractional coordinates of all 5 atoms:
Y1 0.0000 0.5000 0.0000  2 Hg 2.83
Y2 0.0000 0.0000 0.5000  2 Hg 2.83
Y3 0.5000 0.0000 0.0000  2 Hg 2.83
Hg1 0.0000 0.0000 0.0000  6 Y 2.83
Mg1 0.5000 0.5000 0.5000  12 Y 4.01

11.
# Y4MgHg2

Y4MgHg2 after structural relaxation (PBE, the Alexandria database).

Unit cell a=5.2230 b=5.2230 c=8.7972 alpha=72.73 beta=72.73 gamma=60.00
Last column: nearest neighbours and their distance in Å.
Fractional coordinates of all 7 atoms:
Hg1 0.2589 0.2589 0.2232  8 Y 3.06-3.34
Hg2 0.7411 0.7411 0.7768  8 Y 3.06-3.34
Y1 0.6127 0.6127 0.1620  4 Hg 3.06-3.18, 3 Mg 3.30
Y2 0.1324 0.1324 0.6027  4 Hg 3.14-3.34, 1 Mg 3.28, 3 Y 3.46
Y3 0.8676 0.8676 0.3973  4 Hg 3.14-3.34, 1 Mg 3.28, 3 Y 3.46
Y4 0.3873 0.3873 0.8380  4 Hg 3.06-3.18, 3 Mg 3.30
Mg1 0.0000 0.0000 0.0000  8 Y 3.28-3.30, 6 Hg 3.53

12.
# YMgHg2

YMgHg2 after structural relaxation (PBE, the Alexandria database).

Unit cell a=7.9242 b=7.9242 c=6.5300 alpha=52.64 beta=52.64 gamma=90.00
Last column: nearest neighbours and their distance in Å.
Fractional coordinates of all 8 atoms:
Hg1 0.3750 0.4000 0.7500  2 Mg 2.79, 2 Y 3.06
Hg2 0.1500 0.6250 0.2500  2 Mg 2.79, 2 Y 3.06
Hg3 0.6000 0.1250 0.2500  2 Mg 2.79, 2 Y 3.06
Hg4 0.8750 0.8500 0.7500  2 Mg 2.79, 2 Y 3.06
Y1 0.7500 0.2500 0.5000  4 Hg 3.06, 2 Mg 3.35
Y2 0.0000 0.0000 0.0000  4 Hg 3.06, 2 Mg 3.35
Mg1 0.2500 0.7500 0.5000  4 Hg 2.79
Mg2 0.5000 0.5000 0.0000  4 Hg 2.79

no.,formation energy (eV/f.u.),size of the total moment (μB/f.u.)
1,-1.2,0.00
2,-1.2,0.00
3,-2.1,0.00
4,-1.1,0.00
5,-1.0,0.00
6,-1.8,0.00
7,-4.3,0.00
8,0.2,0.00
9,-0.7,0.00
10,1.3,1.61
11,-1.7,0.01
12,-0.7,0.00